Entry 1:
Below is a geometry-optimized Li5SbAu4 structure, with properties calculated at the GGA-PBE level.

Properties
Its total energy is -3.19 eV per atom. The uncorrected formation energy comes out at -0.51 eV/atom.

Lattice parameters (Å, degrees): 3.162 3.162 16.537 90.00 90.00 90.00
Space group P4/mmm (No. 123)
Asymmetric unit:
Li 0.000 0.000 0.000
Li 0.000 0.000 0.187
Li 0.000 0.000 0.376
Sb 0.500 0.500 0.500
Au 0.500 0.500 0.093
Au 0.500 0.500 0.281


Entry 2:
Below is a geometry-optimized YAs structure, with properties calculated at the GGA-PBE level.

Properties
Its total energy is -6.64 eV per atom. Its formation enthalpy at 0 K is -1.084 eV per atom.

Lattice parameters (Å, degrees): 5.181 5.181 3.476 90.00 90.00 90.00
Space group P4/nmm (No. 129, origin choice 2)
Asymmetric unit:
Y 0.250 0.250 0.113
As 0.250 0.750 0.500


Entry 3:
Below is a geometry-optimized DyLu2Pa structure, with properties calculated at the GGA-PBE level.

Properties
Its total energy is -5.52 eV per atom. Its formation enthalpy at 0 K is 0.264 eV per atom. The polymorph energy (0 for the lowest one) is 0.145 eV per atom.

Lattice parameters (Å, degrees): 5.669 5.669 3.557 90.00 90.00 90.00
Space group P4/mmm (No. 123)
Asymmetric unit:
Dy 0.000 0.000 0.000
Lu 0.000 0.500 0.500
Pa 0.500 0.500 0.000


Entry 4:
Below is a geometry-optimized Tl12BiPb3 structure, with properties calculated at the GGA-PBE level.

Properties
Its total energy is -2.71 eV per atom. Its formation enthalpy at 0 K is 0.002 eV per atom.

Lattice parameters (Å, degrees): 5.036 5.036 19.529 90.00 90.00 90.00
Space group P4/mmm (No. 123)
Asymmetric unit:
Tl 0.000 0.000 0.000
Tl 0.000 0.000 0.249
Tl 0.000 0.000 0.500
Tl 0.000 0.500 0.124
Tl 0.000 0.500 0.376
Bi 0.500 0.500 0.500
Pb 0.500 0.500 0.000
Pb 0.500 0.500 0.248


Entry 5:
Below is a geometry-optimized Cd3CuS structure, with properties calculated at the GGA-PBE level.

Properties
Its total energy is -1.62 eV per atom. The uncorrected formation energy comes out at 0.58 eV/atom. The polymorph energy (0 for the lowest one) is 0.241 eV per atom.

Lattice parameters (Å, degrees): 5.169 5.169 5.169 90.00 90.00 90.00
Space group Pm-3m (No. 221)
Asymmetric unit:
Cd 0.000 0.000 0.500
Cu 0.500 0.500 0.500
S 0.000 0.000 0.000


Entry 6:
Below is a geometry-optimized TmSbPd structure, with properties calculated at the GGA-PBE level.

Properties
Its total energy is -5.30 eV per atom. The uncorrected formation energy comes out at -0.70 eV/atom.

Lattice parameters (Å, degrees): 6.686 6.686 6.686 90.00 90.00 90.00
Space group F-43m (No. 216)
Asymmetric unit:
Tm 0.000 0.000 0.000
Sb 0.250 0.250 0.750
Pd 0.000 0.000 0.500


Entry 7:
Below is a geometry-optimized Sm3Si4Ni2 structure, with properties calculated at the GGA-PBE level.

Properties
Its total energy is -6.08 eV per atom. The uncorrected formation energy comes out at -0.81 eV/atom.

Lattice parameters (Å, degrees): 10.902 4.002 8.120 90.00 99.33 90.00
Space group C2/m (No. 12)
Asymmetric unit:
Sm 0.000 0.000 0.000
Sm 0.164 0.500 0.662
Si 0.056 0.000 0.383
Si 0.219 0.500 0.067
Ni 0.108 0.500 0.279


Entry 8:
Below is a geometry-optimized Cd2CoH2 structure, with properties calculated at the GGA-PBE level.

Properties
Its total energy is -2.79 eV per atom. The polymorph energy (0 for the lowest one) is 0.000 eV per atom.

Lattice parameters (Å, degrees): 5.486 5.486 4.063 90.00 90.00 90.00
Space group P4/mbm (No. 127)
Asymmetric unit:
Cd 0.197 0.303 0.000
Co 0.000 0.000 0.500
H 0.243 0.257 0.500


Entry 9:
Below is a geometry-optimized Tb12Ho6Pb structure, with properties calculated at the GGA-PBE level.

Properties
Its total energy is -4.50 eV per atom. Its formation enthalpy at 0 K is 0.062 eV per atom.

Lattice parameters (Å, degrees): 11.8222 11.8222 15.0409 90.00 90.00 120.00
Space group R-3 (No. 148, hexagonal axes)
Asymmetric unit:
Tb 0.0011 0.1765 0.1877
Tb 0.0431 0.1956 0.4160
Ho 0.0167 0.5886 0.6844
Pb 0.0000 0.0000 0.0000


Entry 10:
Below is a geometry-optimized RbSn2HgSb structure, with properties calculated at the GGA-PBE level.

Properties
Its total energy is -2.42 eV per atom. The uncorrected formation energy comes out at 0.26 eV/atom.

Lattice parameters (Å, degrees): 5.764 5.764 5.765 90.00 90.00 90.00
Space group P4/mmm (No. 123)
Asymmetric unit:
Rb 0.000 0.000 0.000
Sn 0.000 0.500 0.500
Hg 0.500 0.500 0.500
Sb 0.500 0.500 0.000


Entry 11:
Below is a geometry-optimized TlTeAs2Se structure, with properties calculated at the GGA-PBE level.

Properties
Its total energy is -3.08 eV per atom. The uncorrected formation energy comes out at 0.58 eV/atom. The polymorph energy (0 for the lowest one) is 0.000 eV per atom.

Lattice parameters (Å, degrees): 5.396 5.396 5.493 90.00 90.00 90.00
Space group P4/mmm (No. 123)
Asymmetric unit:
Tl 0.000 0.000 0.000
Te 0.500 0.500 0.500
As 0.000 0.500 0.500
Se 0.500 0.500 0.000


Entry 12:
Below is a geometry-optimized Ac8GaTe4As3 structure, with properties calculated at the GGA-PBE level.

Properties
Its total energy is -5.32 eV per atom. The uncorrected formation energy comes out at -1.42 eV/atom.

Lattice parameters (Å, degrees): 9.2585 9.2585 23.1794 90.00 90.00 120.00
Space group R-3m (No. 166, hexagonal axes)
Asymmetric unit:
Ac 0.0000 0.0000 0.2414
Ac 0.0016 0.5008 0.2420
Ga 0.0000 0.0000 0.5000
Te 0.0000 0.0000 0.0000
Te 0.0000 0.5000 0.0000
As 0.0000 0.5000 0.5000


Entry 13:
Below is a geometry-optimized TbDy5Y8 structure, with properties calculated at the GGA-PBE level.

Properties
Its total energy is -5.42 eV per atom. Its formation enthalpy at 0 K is 0.249 eV per atom.

Lattice parameters (Å, degrees): 9.558 9.558 10.136 90.00 90.00 90.00
Space group I-4 (No. 82)
Asymmetric unit:
Tb 0.000 0.000 0.000
Dy 0.000 0.500 0.750
Dy 0.110 0.288 0.325
Y 0.071 0.177 0.654
Y 0.085 0.325 0.997


Entry 14:
Below is a geometry-optimized NdHo2In2Hg2 structure, with properties calculated at the GGA-PBE level.

Properties
Its total energy is -3.16 eV per atom. Its formation enthalpy at 0 K is -0.298 eV per atom.

Lattice parameters (Å, degrees): 4.9580 4.9580 26.7686 90.00 90.00 120.00
Space group R-3m (No. 166, hexagonal axes)
Asymmetric unit:
Nd 0.0000 0.0000 0.0000
Ho 0.0000 0.0000 0.1326
In 0.0000 0.0000 0.2660
Hg 0.0000 0.0000 0.4314


Entry 15:
Below is a geometry-optimized Ba4Hg3Bi structure, with properties calculated at the GGA-PBE level.

Properties
Its total energy is -2.19 eV per atom. Its formation enthalpy at 0 K is -0.632 eV per atom.

Lattice parameters (Å, degrees): 18.111 5.993 5.992 90.00 109.24 90.00
Space group C2/m (No. 12)
Asymmetric unit:
Ba 0.127 0.000 0.127
Ba 0.127 0.500 0.628
Hg 0.000 0.500 0.000
Hg 0.247 0.500 0.248
Bi 0.000 0.000 0.500


Entry 16:
Below is a geometry-optimized CrHSCl2 structure, with properties calculated at the GGA-PBE level.

Properties
Its total energy is -4.07 eV per atom. The polymorph energy (0 for the lowest one) is 0.000 eV per atom.

Lattice parameters (Å, degrees): 4.833 4.833 4.446 90.00 90.00 90.00
Space group P4/mmm (No. 123)
Asymmetric unit:
Cr 0.000 0.000 0.000
H 0.500 0.500 0.500
S 0.000 0.000 0.500
Cl 0.000 0.500 0.000


Entry 17:
Below is a geometry-optimized Na2TiSb2S6 structure, with properties calculated at the GGA-PBE level.

Properties
Its total energy is -4.79 eV per atom. The uncorrected formation energy comes out at -0.83 eV/atom.

Lattice parameters (Å, degrees): 6.738 11.404 7.122 90.00 109.15 90.00
Space group C2/m (No. 12)
Asymmetric unit:
Na 0.000 0.172 0.000
Ti 0.000 0.000 0.500
Sb 0.000 0.331 0.500
S 0.223 0.000 0.289
S 0.227 0.155 0.713


Entry 18:
Below is a geometry-optimized AcPrO2 structure, with properties calculated at the GGA-PBE level.

Properties
Its total energy is -7.42 eV per atom. The uncorrected formation energy comes out at -2.72 eV/atom. The polymorph energy (0 for the lowest one) is 0.000 eV per atom.

Lattice parameters (Å, degrees): 4.0102 4.0102 20.6374 90.00 90.00 120.00
Space group R-3m (No. 166, hexagonal axes)
Asymmetric unit:
Ac 0.0000 0.0000 0.0000
Pr 0.0000 0.0000 0.5000
O 0.0000 0.0000 0.3874


Entry 19:
Below is a geometry-optimized AlTl2As2O6 structure, with properties calculated at the GGA-PBE level.

Properties
Its total energy is -5.66 eV per atom. The uncorrected formation energy comes out at -1.34 eV/atom.

Lattice parameters (Å, degrees): 9.007 5.569 7.179 90.00 110.80 90.00
Space group C2/m (No. 12)
Asymmetric unit:
Al 0.000 0.000 0.000
Tl 0.205 0.000 0.652
As 0.088 0.500 0.767
O 0.025 0.254 0.196
O 0.225 0.000 0.042


Entry 20:
Below is a geometry-optimized MnTlSe structure, with properties calculated at the GGA-PBE level.

Properties
Its total energy is -4.86 eV per atom. The uncorrected formation energy comes out at 0.15 eV/atom. The polymorph energy (0 for the lowest one) is 0.230 eV per atom.

Lattice parameters (Å, degrees): 6.643 6.643 6.643 90.00 90.00 90.00
Space group F-43m (No. 216)
Asymmetric unit:
Mn 0.000 0.000 0.000
Tl 0.250 0.250 0.750
Se 0.250 0.250 0.250


Entry 21:
Below is a geometry-optimized Pm12Sm7Er structure, with properties calculated at the GGA-PBE level.

Properties
Its total energy is -4.45 eV per atom. Its formation enthalpy at 0 K is 0.281 eV per atom. The polymorph energy (0 for the lowest one) is 0.055 eV per atom.

Lattice parameters (Å, degrees): 18.8402 18.8402 6.8708 90.00 90.00 120.00
Space group R-3 (No. 148, hexagonal axes)
Asymmetric unit:
Pm 0.9999 0.2134 0.2871
Pm 0.0068 0.5367 0.7413
Sm 0.0000 0.0000 0.5000
Sm 0.0062 0.1553 0.7784
Er 0.0000 0.0000 0.0000


Entry 22:
Below is a geometry-optimized In3SbC structure, with properties calculated at the GGA-PBE level.

Properties
Its total energy is -2.58 eV per atom. The uncorrected formation energy comes out at 1.73 eV/atom. The polymorph energy (0 for the lowest one) is 1.099 eV per atom.

Lattice parameters (Å, degrees): 5.841 5.841 5.841 90.00 90.00 90.00
Space group Pm-3m (No. 221)
Asymmetric unit:
In 0.000 0.000 0.500
Sb 0.000 0.000 0.000
C 0.500 0.500 0.500


Entry 23:
Below is a geometry-optimized Ce4PmSe7 structure, with properties calculated at the GGA-PBE level.

Properties
Its total energy is -6.22 eV per atom. The uncorrected formation energy comes out at -1.81 eV/atom.

Lattice parameters (Å, degrees): 13.917 4.117 12.440 90.00 105.05 90.00
Space group Cm (No. 8)
Asymmetric unit:
Ce 0.000 0.000 0.000
Ce 0.086 0.500 0.386
Ce 0.188 0.000 0.766
Ce 0.386 0.500 0.575
Pm 0.271 0.500 0.153
Se 0.045 0.500 0.627
Se 0.125 0.500 0.927
Se 0.148 0.000 0.226
Se 0.228 0.000 0.525
Se 0.345 0.500 0.791
Se 0.384 0.000 0.076
Se 0.428 0.500 0.360


Entry 24:
Below is a geometry-optimized BaB2Rh structure, with properties calculated at the GGA-PBE level.

Properties
Its total energy is -4.40 eV per atom. Its formation enthalpy at 0 K is 1.261 eV per atom. The polymorph energy (0 for the lowest one) is 1.326 eV per atom.

Lattice parameters (Å, degrees): 6.426 6.426 6.426 90.00 90.00 90.00
Space group Fm-3m (No. 225)
Asymmetric unit:
Ba 0.000 0.000 0.000
B 0.250 0.250 0.250
Rh 0.000 0.000 0.500